No. 1
The following is a PBE calculation of Sc2Cd after structural relaxation, from Alexandria via LeMat-Bulk.

extended XYZ file:
```
6
Lattice="1.699 -8.023 0.000 1.699 8.023 0.000 0.000 0.000 5.036" Properties=species:S:1:pos:R:3 pbc="T T T"
Sc 1.699 6.497 3.777
Sc 1.699 4.379 1.259
Sc 1.699 -4.379 3.777
Sc 1.699 -6.497 1.259
Cd 1.699 1.077 3.777
Cd 1.699 -1.077 1.259
```

Values from the calculation:
For the calculated volume, the calculation gives 22.879 Å³ per atom. The calculation puts the formation energy at -198 meV/atom.


No. 2
The following is a PBE calculation of MnGaPt after structural relaxation, from Alexandria via LeMat-Bulk.

extended XYZ file:
```
6
Lattice="3.845 0.000 0.000 0.000 4.062 0.000 -1.903 0.000 5.661" Properties=species:S:1:pos:R:3 pbc="T T T"
Mn 0.002 1.016 0.917
Mn 1.940 3.047 4.744
Ga 0.013 1.016 4.657
Ga 1.929 3.047 1.004
Pt 0.009 3.047 2.762
Pt 1.933 1.016 2.899
```

Values from the calculation:
For the calculated volume, the calculation gives 14.737 Å³ per atom. The calculation puts the formation energy at -341 meV/atom.


No. 3
The following is a PBE calculation of Rb2Si2B after structural relaxation, from Alexandria via LeMat-Bulk.

extended XYZ file:
```
10
Lattice="6.064 0.000 0.000 0.000 6.064 0.000 0.000 0.000 5.906" Properties=species:S:1:pos:R:3 pbc="T T T"
Rb 1.101 1.931 0.000
Rb 1.931 4.963 0.000
Rb 4.133 1.101 0.000
Rb 4.963 4.133 0.000
Si 0.885 3.917 2.953
Si 2.147 0.885 2.953
Si 3.917 5.179 2.953
Si 5.179 2.147 2.953
B 0.000 0.000 2.953
B 3.032 3.032 2.953
```

Values from the calculation:
Its distance to the lowest polymorph of the same formula is 0.0 kJ per mole of atoms. For the calculated volume, the calculation gives 21.720 Å³ per atom. For the uncorrected formation energy, the calculation gives 0.74 eV/atom.